First-principles (GGA-PBE) data for Cr3ReN after structural relaxation, as listed in Alexandria via LeMat-Bulk.

Unit cell a=3.823 b=3.823 c=3.823 alpha=90.00 beta=90.00 gamma=90.00
Fractional coordinates of all 5 atoms:
Re1 0.500 0.500 0.500
N1 0.000 0.000 0.000
Cr1 0.000 0.500 0.000
Cr2 0.000 0.000 0.500
Cr3 0.500 0.000 0.000

## Properties
Total moment, μB per atom: 0.000
Energy relative to the lowest polymorph listed for this composition, eV/atom: 0.000

=====

First-principles (GGA-PBE) data for CrReN2 after structural relaxation, as listed in Alexandria via LeMat-Bulk.

Unit cell a=3.732 b=3.732 c=3.732 alpha=60.00 beta=60.00 gamma=60.00
Last column: magnetic moment on the atom in μB.
Fractional coordinates of all 4 atoms:
Re1 0.500 0.500 0.500  0.30
N1 0.250 0.250 0.250  -0.05
N2 0.750 0.750 0.750  -0.05
Cr1 0.000 0.000 0.000  2.65

## Properties
Total moment, μB per atom: 0.750
Energy relative to the lowest polymorph listed for this composition, eV/atom: 0.590

=====

First-principles (GGA-PBE) data for CrReN2 after structural relaxation, as listed in Alexandria via LeMat-Bulk.

Unit cell a=6.607 b=6.607 c=6.607 alpha=23.73 beta=23.73 gamma=23.73
Last column: magnetic moment on the atom in μB.
Fractional coordinates of all 4 atoms:
Re1 0.000 0.000 0.000  0.04
N1 0.896 0.896 0.896  -0.02
N2 0.104 0.104 0.104  -0.02
Cr1 0.500 0.500 0.500  0.52

## Properties
Total moment, μB per atom: 0.135
Energy relative to the lowest polymorph listed for this composition, eV/atom: 0.127

=====

In order of appearance, volume = 56; 37; 41 Å³ per cell.
In order of appearance, formation energy from raw total energies = -0.8; 2.3; 0.4 eV/f.u..
In order of appearance, density = 10.6; 12.0; 10.8 Mg/m³.